KMgCd2 after structural relaxation, computed with PBE-GGA.

a = 3.519 Å, b = 5.724 Å, c = 11.522 Å
α = 90.00°, β = 90.00°, γ = 90.00°
Space group Imm2 (No. 44)
Inequivalent atoms, fractional coordinates:
K  0.000  0.000  0.000 [2 per cell]
Mg  0.000  0.500  0.790 [2 per cell]
Cd  0.000  0.000  0.506 [2 per cell]
Cd  0.000  0.500  0.224 [2 per cell]

Its energy relative to the elements is 0.07 eV/atom. The energy is -8.5 eV per cell. Its density of states at the Fermi level is 3.778 states/eV/cell.